Record 1
Compound: NiBi3
Source: Alexandria
Functional: GGA-PBEsol
Structure: relaxed

abc: 8.7991 4.0903 11.2793
angles: 90.00 90.00 90.00
Atoms (fractional coordinates):
Ni 0.0892 0.2500 0.0187
Ni 0.4108 0.7500 0.5187
Ni 0.5892 0.2500 0.4813
Ni 0.9108 0.7500 0.9813
Bi 0.0914 0.7500 0.1794
Bi 0.1155 0.7500 0.5890
Bi 0.2006 0.7500 0.8884
Bi 0.2994 0.2500 0.3884
Bi 0.3845 0.2500 0.0890
Bi 0.4086 0.2500 0.6794
Bi 0.5914 0.7500 0.3206
Bi 0.6155 0.7500 0.9110
Bi 0.7006 0.7500 0.6116
Bi 0.7994 0.2500 0.1116
Bi 0.8845 0.2500 0.4110
Bi 0.9086 0.2500 0.8206

## Properties
As for the space group: Pnma. For the formation energy, the calculation gives -0.06 eV per atom.

---

Record 2
Compound: Ni2BiO
Source: Alexandria
Functional: GGA-PBEsol
Structure: relaxed

abc: 4.2001 4.2001 4.2001
angles: 60.00 60.00 60.00
Atoms (fractional coordinates):
Ni 0.2500 0.2500 0.2500
Ni 0.7500 0.7500 0.7500
Bi 0.0000 0.0000 0.0000
O 0.5000 0.5000 0.5000

## Properties
As for the space group: Fm-3m. For the formation energy (no corrections), the calculation gives 0.265 eV per atom.

---

Record 3
Compound: NiBi12O20
Source: Alexandria
Functional: GGA-PBEsol
Structure: relaxed

abc: 8.7179 8.7179 8.7179
angles: 109.47 109.47 109.47
Atoms (fractional coordinates):
Ni 0.0000 0.0000 0.0000
Bi 0.1439 0.3055 0.8115
Bi 0.1616 0.8561 0.6676
Bi 0.1885 0.4940 0.3324
Bi 0.3055 0.8115 0.1439
Bi 0.3324 0.1885 0.4940
Bi 0.4940 0.3324 0.1885
Bi 0.5060 0.6945 0.8384
Bi 0.6676 0.1616 0.8561
Bi 0.6945 0.8384 0.5060
Bi 0.8115 0.1439 0.3055
Bi 0.8384 0.5060 0.6945
Bi 0.8561 0.6676 0.1616
O 0.0000 0.0000 0.2087
O 0.0000 0.0000 0.6040
O 0.0000 0.2087 0.0000
O 0.0000 0.6040 0.0000
O 0.1257 0.7656 0.3790
O 0.2087 0.0000 0.0000
O 0.2344 0.3601 0.6134
O 0.2533 0.6399 0.8743
O 0.3601 0.6134 0.2344
O 0.3790 0.1257 0.7656
O 0.3866 0.7467 0.6210
O 0.3960 0.3960 0.3960
O 0.6040 0.0000 0.0000
O 0.6134 0.2344 0.3601
O 0.6210 0.3866 0.7467
O 0.6399 0.8743 0.2533
O 0.7467 0.6210 0.3866
O 0.7656 0.3790 0.1257
O 0.7913 0.7913 0.7913
O 0.8743 0.2533 0.6399

## Properties
As for the space group: I23. For the formation energy (no corrections), the calculation gives -1.150 eV per atom.

---

Record 4
Compound: Ti3NiBi2Pb2O12
Source: Alexandria
Functional: GGA-PBEsol
Structure: relaxed

abc: 5.5793 5.5824 9.5300
angles: 74.57 74.82 60.35
Atoms (fractional coordinates):
Ti 0.0000 0.0000 0.0000
Ti 0.2501 0.2601 0.2444
Ti 0.5038 0.5203 0.4955
Ni 0.7431 0.7472 0.7630
Bi 0.1632 0.1817 0.6218
Bi 0.4357 0.3806 0.8419
Pb 0.6385 0.6457 0.1110
Pb 0.8823 0.9074 0.3767
O 0.1099 0.6061 0.1259
O 0.1382 0.0798 0.1451
O 0.1391 0.5772 0.6614
O 0.3092 0.3949 0.4023
O 0.3286 0.8670 0.8680
O 0.3395 0.8920 0.4117
O 0.5854 0.1214 0.6349
O 0.6186 0.1114 0.1615
O 0.6539 0.5557 0.6457
O 0.7902 0.9220 0.9025
O 0.8373 0.3747 0.9053
O 0.8410 0.3730 0.3751

## Properties
As for the space group: P1. For the formation energy (no corrections), the calculation gives -1.984 eV per atom.

---

Record 5
Compound: Sr5Ni2BiO10
Source: Alexandria
Functional: GGA-PBEsol
Structure: relaxed

abc: 9.4267 9.4267 9.4267
angles: 147.38 147.38 46.80
Atoms (fractional coordinates):
Sr 0.0000 0.0000 0.0000
Sr 0.1512 0.6512 0.5000
Sr 0.3488 0.8488 0.5000
Sr 0.6512 0.1512 0.5000
Sr 0.8488 0.3488 0.5000
Ni 0.2481 0.2481 0.0000
Ni 0.7519 0.7519 0.0000
Bi 0.5000 0.5000 0.0000
O 0.0000 0.0000 0.5000
O 0.0000 0.5000 0.0000
O 0.0000 0.5000 0.5000
O 0.1376 0.1376 0.0000
O 0.3699 0.3699 0.0000
O 0.5000 0.0000 0.0000
O 0.5000 0.0000 0.5000
O 0.5000 0.5000 0.5000
O 0.6301 0.6301 0.0000
O 0.8624 0.8624 0.0000

## Properties
As for the space group: I4/mmm. For the formation energy (no corrections), the calculation gives -2.011 eV per atom.

---

Record 6
Compound: ZrNi2BiOs
Source: Alexandria
Functional: GGA-PBEsol
Structure: relaxed

abc: 4.5730 4.5730 4.8662
angles: 90.00 90.00 90.00
Atoms (fractional coordinates):
Zr 0.0000 0.0000 0.0000
Ni 0.0000 0.5000 0.5000
Ni 0.5000 0.0000 0.5000
Bi 0.5000 0.5000 0.0000
Os 0.0000 0.0000 0.5000

## Properties
As for the space group: P4/mmm. For the formation energy, the calculation gives 0.76 eV per atom.

---

Record 7
Compound: NiBiPd3
Source: Alexandria
Functional: GGA-PBEsol
Structure: relaxed

abc: 4.9329 4.9329 4.9329
angles: 90.00 90.00 90.00
Atoms (fractional coordinates):
Ni 0.0000 0.0000 0.0000
Bi 0.5000 0.5000 0.5000
Pd 0.0000 0.5000 0.5000
Pd 0.5000 0.0000 0.5000
Pd 0.5000 0.5000 0.0000

## Properties
As for the space group: Pm-3m. For the formation energy, the calculation gives 1.30 eV per atom.

---

Record 8
Compound: PrNiBi
Source: Alexandria
Functional: GGA-PBEsol
Structure: relaxed

abc: 4.6428 4.6428 4.6428
angles: 60.00 60.00 60.00
Atoms (fractional coordinates):
Pr 0.0000 0.0000 0.0000
Ni 0.2500 0.2500 0.2500
Bi 0.5000 0.5000 0.5000

## Properties
As for the space group: F-43m. For the formation energy, the calculation gives -0.67 eV per atom.

---

Record 9
Compound: PrNi2Bi2
Source: Alexandria
Functional: GGA-PBEsol
Structure: relaxed

abc: 4.5970 4.5970 10.0225
angles: 90.00 90.00 90.00
Atoms (fractional coordinates):
Pr 0.2500 0.2500 0.2328
Pr 0.7500 0.7500 0.7672
Ni 0.2500 0.2500 0.6243
Ni 0.2500 0.7500 0.0000
Ni 0.7500 0.2500 0.0000
Ni 0.7500 0.7500 0.3757
Bi 0.2500 0.2500 0.8758
Bi 0.2500 0.7500 0.5000
Bi 0.7500 0.2500 0.5000
Bi 0.7500 0.7500 0.1242

## Properties
As for the space group: P4/nmm. For the formation energy, the calculation gives -0.38 eV per atom.

---

Record 10
Compound: NiBiPt3
Source: Alexandria
Functional: GGA-PBEsol
Structure: relaxed

abc: 4.5639 4.5639 4.5639
angles: 90.00 90.00 90.00
Atoms (fractional coordinates):
Ni 0.0000 0.0000 0.0000
Bi 0.5000 0.5000 0.5000
Pt 0.0000 0.0000 0.5000
Pt 0.0000 0.5000 0.0000
Pt 0.5000 0.0000 0.0000

## Properties
As for the space group: Pm-3m. For the formation energy, the calculation gives 0.70 eV per atom.

---

Record 11
Compound: NiBi3Pt
Source: Alexandria
Functional: GGA-PBEsol
Structure: relaxed

abc: 4.9597 4.9597 4.9597
angles: 90.00 90.00 90.00
Atoms (fractional coordinates):
Ni 0.0000 0.0000 0.0000
Bi 0.0000 0.0000 0.5000
Bi 0.0000 0.5000 0.0000
Bi 0.5000 0.0000 0.0000
Pt 0.5000 0.5000 0.5000

## Properties
As for the space group: Pm-3m. For the formation energy, the calculation gives 0.48 eV per atom.

---

Record 12
Compound: Ni2BiRh2
Source: Alexandria
Functional: GGA-PBEsol
Structure: relaxed

abc: 6.3312 6.3312 6.3312
angles: 146.50 146.50 48.11
Atoms (fractional coordinates):
Ni 0.1033 0.1033 0.0000
Ni 0.8967 0.8967 0.0000
Bi 0.5000 0.5000 0.0000
Rh 0.2500 0.7500 0.5000
Rh 0.7500 0.2500 0.5000

## Properties
As for the space group: I4/mmm. For the formation energy, the calculation gives 0.32 eV per atom.

---

Record 13
Compound: ZrNi2BiRh
Source: Alexandria
Functional: GGA-PBEsol
Structure: relaxed

abc: 4.5922 4.5922 4.7250
angles: 90.00 90.00 90.00
Atoms (fractional coordinates):
Zr 0.0000 0.0000 0.0000
Ni 0.0000 0.5000 0.0000
Ni 0.5000 0.0000 0.0000
Bi 0.5000 0.5000 0.5000
Rh 0.0000 0.0000 0.5000

## Properties
As for the space group: P4/mmm. For the formation energy, the calculation gives 0.81 eV per atom.

---

Record 14
Compound: NiBi3Ru
Source: Alexandria
Functional: GGA-PBEsol
Structure: relaxed

abc: 5.1468 5.1468 5.1468
angles: 90.00 90.00 90.00
Atoms (fractional coordinates):
Ni 0.0000 0.0000 0.0000
Bi 0.0000 0.5000 0.5000
Bi 0.5000 0.0000 0.5000
Bi 0.5000 0.5000 0.0000
Ru 0.5000 0.5000 0.5000

## Properties
As for the space group: Pm-3m. For the formation energy, the calculation gives 0.94 eV per atom.

---

Record 15
Compound: Ni9BiTeS8
Source: Alexandria
Functional: GGA-PBEsol
Structure: relaxed

abc: 7.2261 7.2261 5.2675
angles: 90.00 90.00 90.00
Atoms (fractional coordinates):
Ni 0.0000 0.0000 0.0000
Ni 0.1798 0.5000 0.2504
Ni 0.1798 0.5000 0.7496
Ni 0.5000 0.1798 0.2504
Ni 0.5000 0.1798 0.7496
Ni 0.5000 0.8202 0.2504
Ni 0.5000 0.8202 0.7496
Ni 0.8202 0.5000 0.2504
Ni 0.8202 0.5000 0.7496
Bi 0.0000 0.0000 0.5000
Te 0.5000 0.5000 0.0000
S 0.0000 0.3143 0.0000
S 0.0000 0.6857 0.0000
S 0.2708 0.2708 0.5000
S 0.2708 0.7292 0.5000
S 0.3143 0.0000 0.0000
S 0.6857 0.0000 0.0000
S 0.7292 0.2708 0.5000
S 0.7292 0.7292 0.5000

## Properties
As for the space group: P4/mmm. For the formation energy (no corrections), the calculation gives -0.422 eV per atom.

---

Record 16
Compound: NiBi3Sb
Source: Alexandria
Functional: GGA-PBEsol
Structure: relaxed

abc: 5.1177 5.1177 5.1177
angles: 90.00 90.00 90.00
Atoms (fractional coordinates):
Ni 0.0000 0.0000 0.0000
Bi 0.0000 0.0000 0.5000
Bi 0.0000 0.5000 0.0000
Bi 0.5000 0.0000 0.0000
Sb 0.5000 0.5000 0.5000

## Properties
As for the space group: Pm-3m. For the formation energy (no corrections), the calculation gives 0.275 eV per atom.

---

Record 17
Compound: Sc2NiBi
Source: Alexandria
Functional: GGA-PBEsol
Structure: relaxed

abc: 9.0665 9.0665 9.0665
angles: 22.59 22.59 22.59
Atoms (fractional coordinates):
Sc 0.1131 0.1131 0.1131
Sc 0.8869 0.8869 0.8869
Ni 0.5000 0.5000 0.5000
Bi 0.0000 0.0000 0.0000

## Properties
As for the space group: R-3m. For the formation energy, the calculation gives -0.13 eV per atom.

---

Record 18
Compound: Sc2Ni2Bi
Source: Alexandria
Functional: GGA-PBEsol
Structure: relaxed

abc: 7.1490 7.1490 3.3728
angles: 90.00 90.00 90.00
Atoms (fractional coordinates):
Sc 0.1645 0.3355 0.0000
Sc 0.3355 0.8355 0.0000
Sc 0.6645 0.1645 0.0000
Sc 0.8355 0.6645 0.0000
Ni 0.1210 0.6210 0.5000
Ni 0.3790 0.1210 0.5000
Ni 0.6210 0.8790 0.5000
Ni 0.8790 0.3790 0.5000
Bi 0.0000 0.0000 0.5000
Bi 0.5000 0.5000 0.5000

## Properties
As for the space group: P4/mbm. For the formation energy, the calculation gives -0.53 eV per atom.

---

Record 19
Compound: Ni2BiSe2
Source: Alexandria
Functional: GGA-PBEsol
Structure: relaxed

abc: 6.0465 6.0465 6.0465
angles: 141.04 141.04 56.29
Atoms (fractional coordinates):
Ni 0.1186 0.1186 0.0000
Ni 0.8814 0.8814 0.0000
Bi 0.5000 0.5000 0.0000
Se 0.2500 0.7500 0.5000
Se 0.7500 0.2500 0.5000

## Properties
As for the space group: I4/mmm. For the formation energy (no corrections), the calculation gives 0.059 eV per atom.

---

Record 20
Compound: NiBi2Se
Source: Alexandria
Functional: GGA-PBEsol
Structure: relaxed

abc: 7.5351 7.5351 7.5351
angles: 131.96 131.96 70.29
Atoms (fractional coordinates):
Ni 0.0000 0.0000 0.0000
Ni 0.7500 0.2500 0.5000
Bi 0.0644 0.6250 0.9394
Bi 0.3750 0.3144 0.4394
Bi 0.6856 0.1250 0.0606
Bi 0.8750 0.9356 0.5606
Se 0.2500 0.7500 0.5000
Se 0.5000 0.5000 0.0000

## Properties
As for the space group: I-42d. For the formation energy (no corrections), the calculation gives 0.133 eV per atom.

---

Record 21
Compound: Si3NiBi
Source: Alexandria
Functional: GGA-PBEsol
Structure: relaxed

abc: 4.4963 4.4963 4.4963
angles: 90.00 90.00 90.00
Atoms (fractional coordinates):
Si 0.0000 0.0000 0.5000
Si 0.0000 0.5000 0.0000
Si 0.5000 0.0000 0.0000
Ni 0.0000 0.0000 0.0000
Bi 0.5000 0.5000 0.5000

## Properties
As for the space group: Pm-3m. For the formation energy (no corrections), the calculation gives 0.283 eV per atom.

---

Record 22
Compound: Sr2Ni2Bi
Source: Alexandria
Functional: GGA-PBEsol
Structure: relaxed

abc: 5.5589 5.5589 5.5589
angles: 116.71 116.71 95.80
Atoms (fractional coordinates):
Sr 0.2500 0.7500 0.5000
Sr 0.7500 0.2500 0.5000
Ni 0.1511 0.1511 0.0000
Ni 0.8489 0.8489 0.0000
Bi 0.5000 0.5000 0.0000

## Properties
As for the space group: I4/mmm. For the formation energy, the calculation gives -0.07 eV per atom.

---

Record 23
Compound: TbNiBi
Source: Alexandria
Functional: GGA-PBEsol
Structure: relaxed

abc: 4.5225 4.5225 4.5225
angles: 60.00 60.00 60.00
Atoms (fractional coordinates):
Tb 0.0000 0.0000 0.0000
Ni 0.7500 0.7500 0.7500
Bi 0.5000 0.5000 0.5000

## Properties
As for the space group: F-43m. For the formation energy, the calculation gives -0.72 eV per atom.